A geometry-optimized Ca3U3As8Pd structure, computed with PBE.

## Properties
**Fermi-level density of states**: 1.091 states/eV/atom
**E_form**: -0.69 eV/atom

Cell: 8.0206 8.0170 8.4159 Å, 118.41 90.00 120.01°
Closest atoms and distances in Å follow each position.
Sites, in units of the cell vectors:
As (0.2465, 0.0137, 0.2808)  1 Pd 2.70, 2 U 2.82, 2 Ca 3.01
As (0.2330, 0.4661, 0.7192)  1 Pd 2.70, 2 U 2.82, 2 Ca 3.01
As (0.7670, 0.5339, 0.2808)  1 Pd 2.70, 2 U 2.82, 2 Ca 3.01
As (0.7535, 0.9863, 0.7192)  1 Pd 2.70, 2 U 2.82, 2 Ca 3.01
As (0.2328, 0.9863, 0.7192)  1 Pd 2.70, 2 U 2.82, 2 Ca 3.01
As (0.7447, 0.4894, 0.7339)  3 U 2.84, 3 Ca 2.98
As (0.2553, 0.5106, 0.2661)  3 U 2.84, 3 Ca 2.98
As (0.7672, 0.0137, 0.2808)  1 Pd 2.70, 2 U 2.82, 2 Ca 3.01
Ca (0.0000, 0.5000, 0.0000)  6 As 2.98-3.01
Ca (0.5000, 0.5000, 0.0000)  6 As 2.98-3.01
Ca (0.0000, 0.0000, 0.0000)  6 As 2.98-3.01
U (0.5000, 0.5000, 0.5000)  6 As 2.82-2.84
U (0.5000, 0.0000, 0.5000)  6 As 2.82-2.84
U (0.0000, 0.5000, 0.5000)  6 As 2.82-2.84
Pd (0.0000, 0.0000, 0.5000)  6 As 2.70

A geometry-optimized Dy4Ni3Au structure, computed with PBE.

## Properties
**Fermi-level density of states**: 0.738 states/eV/atom
**E_form**: -0.54 eV/atom

Cell: 3.6935 4.4430 10.2621 Å, 90.00 90.00 90.00°
Closest atoms and distances in Å follow each position.
Sites, in units of the cell vectors:
Ni (0.5000, 0.0000, 0.9168)  2 Au 2.77, 7 Dy 2.87-2.98
Ni (0.0000, 0.5000, 0.5745)  2 Ni 2.68, 7 Dy 2.78-2.96
Ni (0.0000, 0.0000, 0.4277)  2 Ni 2.68, 7 Dy 2.84-2.94
Dy (0.5000, 0.0000, 0.6373)  7 Ni 2.84-2.96
Dy (0.5000, 0.5000, 0.3727)  6 Ni 2.78-2.94, 1 Au 3.03
Dy (0.0000, 0.0000, 0.1447)  3 Ni 2.90-2.98, 4 Au 2.97
Dy (0.0000, 0.5000, 0.8489)  5 Ni 2.82-2.97, 2 Au 2.99
Au (0.5000, 0.5000, 0.0775)  2 Ni 2.77, 7 Dy 2.97-3.03

A geometry-optimized TbPuScSn structure, computed with PBE.

## Properties
**Fermi-level density of states**: 2.465 states/eV/atom
**E_form**: -0.15 eV/atom

Cell: 5.3086 5.3086 5.3086 Å, 60.00 60.00 60.00°
Closest atoms and distances in Å follow each position.
Sites, in units of the cell vectors:
Pu (0.0000, 0.0000, 0.0000)  4 Sn 3.25, 4 Sc 3.25
Sc (0.7500, 0.7500, 0.7500)  4 Tb 3.25, 4 Pu 3.25
Tb (0.5000, 0.5000, 0.5000)  4 Sc 3.25, 4 Sn 3.25
Sn (0.2500, 0.2500, 0.2500)  4 Tb 3.25, 4 Pu 3.25

A geometry-optimized SrTbBeN2 structure, computed with PBE.

## Properties
**Fermi-level density of states**: 0.343 states/eV/atom
**Raw formation energy**: -841 meV per atom

Cell: 5.1981 5.3533 6.7330 Å, 90.01 90.00 90.00°
Closest atoms and distances in Å follow each position.
Sites, in units of the cell vectors:
N (0.7632, 0.1746, 0.5000)  1 Be 1.55
N (0.2368, 0.8254, 0.5000)  1 Be 1.55
N (0.2368, 0.1746, 0.0000)  1 Be 1.55
N (0.7632, 0.8254, 0.0000)  1 Be 1.55
Be (0.0000, 0.0000, 0.0000)  2 N 1.55
Be (0.0000, 0.0000, 0.5000)  2 N 1.55
Tb (0.4999, 0.0000, 0.2500)  4 N 2.36
Tb (0.5001, 0.0000, 0.7500)  4 N 2.36
Sr (0.9998, 0.5000, 0.2500)  4 N 2.72
Sr (0.0002, 0.5000, 0.7500)  4 N 2.72

A geometry-optimized Pm3Ga3Pt2 structure, computed with PBE.

## Properties
**Fermi-level density of states**: 0.794 states/eV/atom
**E above lowest polymorph**: 0.0000 eV per atom
**E_form**: -0.92 eV/atom

Cell: 4.4728 5.7356 15.0002 Å, 90.00 90.00 112.95°
Closest atoms and distances in Å follow each position.
Sites, in units of the cell vectors:
Ga (0.6214, 0.2429, 0.4633)  3 Pt 2.60-2.83, 1 Ga 2.79
Ga (0.3786, 0.7571, 0.9633)  3 Pt 2.60-2.83, 1 Ga 2.79
Ga (0.6569, 0.3139, 0.7500)  2 Pt 2.65
Ga (0.6214, 0.2429, 0.0367)  3 Pt 2.60-2.83, 1 Ga 2.79
Ga (0.3786, 0.7571, 0.5367)  3 Pt 2.60-2.83, 1 Ga 2.79
Ga (0.3431, 0.6861, 0.2500)  2 Pt 2.65
Pt (0.2006, 0.4012, 0.1045)  4 Ga 2.60-2.83
Pt (0.7994, 0.5988, 0.6045)  4 Ga 2.60-2.83
Pt (0.2006, 0.4012, 0.3955)  4 Ga 2.60-2.83
Pt (0.7994, 0.5988, 0.8955)  4 Ga 2.60-2.83
Pm (0.9111, 0.8222, 0.3924)  4 Pt 3.06-3.39, 7 Ga 3.13-3.33
Pm (0.6368, 0.2735, 0.2500)  5 Ga 3.10-3.20, 4 Pt 3.20
Pm (0.0889, 0.1778, 0.6076)  4 Pt 3.06-3.39, 7 Ga 3.13-3.33
Pm (0.3632, 0.7265, 0.7500)  5 Ga 3.10-3.20, 4 Pt 3.20
Pm (0.0889, 0.1778, 0.8924)  4 Pt 3.06-3.39, 7 Ga 3.13-3.33
Pm (0.9111, 0.8222, 0.1076)  4 Pt 3.06-3.39, 7 Ga 3.13-3.33

A geometry-optimized BaHoPt2 structure, computed with PBE.

## Properties
**Fermi-level density of states**: 0.623 states/eV/atom
**E above lowest polymorph**: 0.0000 eV per atom
**E_form**: -0.97 eV/atom

Cell: 3.6049 3.6049 7.5961 Å, 90.00 90.00 90.00°
Closest atoms and distances in Å follow each position.
Sites, in units of the cell vectors:
Ba (0.5000, 0.5000, 0.5000)  8 Pt 3.43, 4 Ba 3.60, 2 Ho 3.80
Pt (0.0000, 0.0000, 0.8019)  4 Ho 2.96, 1 Pt 3.01
Pt (0.0000, 0.0000, 0.1981)  4 Ho 2.96, 1 Pt 3.01
Ho (0.5000, 0.5000, 0.0000)  8 Pt 2.96

A geometry-optimized SrHgTe2I structure, computed with PBE.

## Properties
**Fermi-level density of states**: 0.658 states/eV/atom
**E above lowest polymorph**: 0.0000 eV per atom
**Raw formation energy**: -409 meV per atom

Cell: 5.6076 5.6076 6.2115 Å, 90.00 90.00 90.00°
Closest atoms and distances in Å follow each position.
Sites, in units of the cell vectors:
Hg (0.0000, 0.0000, 0.0000)  4 Te 2.80, 2 I 3.11
Sr (0.5000, 0.5000, 0.5000)  4 I 3.97, 8 Te 4.18
Te (0.5000, 0.0000, 0.0000)  2 Hg 2.80
Te (0.0000, 0.5000, 0.0000)  2 Hg 2.80
I (0.0000, 0.0000, 0.5000)  2 Hg 3.11

A geometry-optimized Pm2Sm4Th3 structure, computed with PBE.

## Properties
**Fermi-level density of states**: 1.990 states/eV/atom
**E_form**: 0.08 eV/atom

Cell: 3.5947 3.5947 27.0669 Å, 90.00 90.00 120.00°
Closest atoms and distances in Å follow each position.
Sites, in units of the cell vectors:
Th (0.0000, 0.0000, 0.3230)  6 Sm 3.55-3.62, 6 Th 3.59
Th (0.0000, 0.0000, 0.9832)  6 Pm 3.56-3.62, 6 Th 3.59
Th (0.6667, 0.3333, 0.6527)  6 Sm 3.59-3.60, 6 Th 3.59
Sm (0.0000, 0.0000, 0.5441)  9 Sm 3.59-3.66, 3 Th 3.60
Sm (0.6667, 0.3333, 0.4327)  9 Sm 3.59-3.66, 3 Th 3.62
Sm (0.6667, 0.3333, 0.2168)  1 Pm 3.43, 3 Th 3.55, 6 Sm 3.59
Sm (0.0000, 0.0000, 0.7611)  3 Th 3.59, 6 Sm 3.59, 3 Pm 3.68
Pm (0.6667, 0.3333, 0.8734)  6 Pm 3.59, 3 Th 3.62, 3 Sm 3.68
Pm (0.6667, 0.3333, 0.0902)  1 Sm 3.43, 3 Th 3.56, 6 Pm 3.59

Q: Which formula does entry 2 have?
A: Dy4Ni3Au

Q: Among the records above, which one has the highest Fermi-level density of states?
A: TbPuScSn

Q: Fermi-level density of states of number 3 (TbPuScSn)?
A: 2.465 states/eV/atom